An optimized crystal structure of LiMnFe. Source: Alexandria via LeMat-Bulk, functional PBE-GGA.

Formation energy from the elements: 0.344 eV per atom
Total magnetic moment: 0.13 μB per atom
Crystal system: orthorhombic
Relative energy among the computed polymorphs: 92 meV/atom

Cell: 4.3049 4.3049 4.3049 Å, 146.51 127.31 63.89°
With the nearest neighbours (Å) after each atom.
Fractional coordinates of all 3 atoms:
Li 0.3340 0.3340 0.0000  5 Mn 2.42-2.59, 5 Fe 2.43-2.58, 2 Li 2.48
Fe 0.0011 0.0011 0.0000  5 Li 2.43-2.58, 5 Mn 2.46-2.57, 2 Fe 2.48
Mn 0.6648 0.6648 0.0000  5 Li 2.42-2.59, 5 Fe 2.46-2.57, 2 Mn 2.48

An optimized crystal structure of Li2MnFe. Source: Alexandria via LeMat-Bulk, functional PBE-GGA.

Formation energy from the elements: 0.328 eV per atom
Total magnetic moment: 0.10 μB per atom
Crystal system: monoclinic
Relative energy among the computed polymorphs: 70 meV/atom

Cell: 4.1327 4.1327 5.1410 Å, 88.03 88.03 33.64°
With the nearest neighbours (Å) after each atom.
Fractional coordinates of all 4 atoms:
Fe 0.7477 0.7477 0.7071  1 Mn 2.15, 2 Fe 2.39
Li 0.2494 0.2494 0.2420  5 Li 2.34-2.59, 1 Mn 2.57
Li 0.0022 0.0022 0.0070  5 Li 2.34-2.59, 1 Fe 2.58
Mn 0.5007 0.5007 0.5438  1 Fe 2.15, 2 Mn 2.39

An optimized crystal structure of LiMn3Fe. Source: Alexandria via LeMat-Bulk, functional PBE-GGA.

Formation energy from the elements: 1.394 eV per atom
Total magnetic moment: 0.00 μB per atom
Crystal system: cubic
Relative energy among the computed polymorphs: 483 meV/atom

Cell: 3.7808 3.7808 3.7808 Å, 90.00 90.00 90.00°
With the nearest neighbours (Å) after each atom.
Fractional coordinates of all 5 atoms:
Fe 0.5000 0.5000 0.5000  12 Mn 2.67
Mn 0.5000 0.0000 0.0000  2 Li 1.89
Mn 0.0000 0.0000 0.5000  2 Li 1.89
Mn 0.0000 0.5000 0.0000  2 Li 1.89
Li 0.0000 0.0000 0.0000  6 Mn 1.89

An optimized crystal structure of Li2MnFe. Source: Alexandria via LeMat-Bulk, functional PBE-GGA.

Formation energy from the elements: 0.311 eV per atom
Total magnetic moment: 0.97 μB per atom
Crystal system: monoclinic
Relative energy among the computed polymorphs: 54 meV/atom

Cell: 4.5695 2.3827 4.5219 Å, 86.11 90.00 90.00°
With the nearest neighbours (Å) after each atom.
Fractional coordinates of all 4 atoms:
Li 0.0000 0.5041 0.5023  6 Li 2.38-2.65, 2 Fe 2.63, 2 Mn 2.64
Li 0.0000 0.9959 0.9977  6 Li 2.38-2.65, 2 Fe 2.63, 2 Mn 2.64
Fe 0.5000 0.7500 0.7500  2 Fe 2.38, 4 Mn 2.48-2.63, 4 Li 2.63
Mn 0.5000 0.2500 0.2500  2 Mn 2.38, 4 Fe 2.48-2.63, 4 Li 2.64

An optimized crystal structure of LiMnFe. Source: Alexandria via LeMat-Bulk, functional PBE-GGA.

Formation energy from the elements: 0.282 eV per atom
Total magnetic moment: 0.42 μB per atom
Crystal system: orthorhombic
Relative energy among the computed polymorphs: 29 meV/atom

Cell: 6.8300 6.6618 2.4094 Å, 83.68 75.80 20.52°
With the nearest neighbours (Å) after each atom.
Fractional coordinates of all 3 atoms:
Fe 0.0072 0.0072 0.9928  2 Mn 2.39, 6 Fe 2.41-2.66, 2 Li 2.63
Li 0.3335 0.3335 0.6665  6 Li 2.41-2.66, 2 Fe 2.63, 2 Mn 2.63
Mn 0.6593 0.6593 0.3407  2 Fe 2.39, 6 Mn 2.41-2.66, 2 Li 2.63

An optimized crystal structure of LiMn4Fe. Source: Alexandria via LeMat-Bulk, functional PBE-GGA.

Formation energy from the elements: 0.335 eV per atom
Total magnetic moment: 0.48 μB per atom
Crystal system: cubic

Cell: 4.6227 4.6227 4.6227 Å, 60.00 60.00 60.00°
With the nearest neighbours (Å) after each atom.
Fractional coordinates of all 6 atoms:
Mn 0.3749 0.8754 0.3749  6 Mn 2.31
Mn 0.3749 0.3749 0.8754  6 Mn 2.31
Mn 0.3749 0.3749 0.3749  6 Mn 2.31
Mn 0.8754 0.3749 0.3749  6 Mn 2.31
Fe 0.7500 0.7500 0.7500  12 Mn 2.71, 4 Li 2.83
Li 0.0000 0.0000 0.0000  12 Mn 2.71, 4 Fe 2.83

An optimized crystal structure of Li2MnFe. Source: Alexandria via LeMat-Bulk, functional PBE-GGA.

Formation energy from the elements: 0.274 eV per atom
Total magnetic moment: 0.01 μB per atom
Crystal system: tetragonal
Relative energy among the computed polymorphs: 16 meV/atom

Cell: 2.7689 2.7689 6.9996 Å, 90.00 90.00 90.00°
With the nearest neighbours (Å) after each atom.
Fractional coordinates of all 4 atoms:
Li 0.0000 0.0000 0.9669  4 Fe 2.67, 8 Li 2.77-2.94, 1 Mn 2.95
Li 0.5000 0.5000 0.2801  4 Mn 2.70, 8 Li 2.77-2.94, 1 Fe 2.99
Mn 0.0000 0.0000 0.5458  4 Fe 2.26
Fe 0.5000 0.5000 0.7073  4 Mn 2.26

An optimized crystal structure of LiMnFe. Source: Alexandria via LeMat-Bulk, functional PBE-GGA.

Formation energy from the elements: 0.253 eV per atom
Total magnetic moment: 0.08 μB per atom
Crystal system: trigonal
Relative energy among the computed polymorphs: 0 meV/atom

Cell: 2.5151 2.5151 6.5252 Å, 90.00 90.00 120.00°
With the nearest neighbours (Å) after each atom.
Fractional coordinates of all 3 atoms:
Fe 0.0000 0.0000 0.9814  3 Mn 2.40, 6 Fe 2.52
Mn 0.3333 0.6667 0.6881  3 Fe 2.40, 6 Mn 2.52
Li 0.6667 0.3333 0.3305  6 Li 2.52, 3 Fe 2.70, 3 Mn 2.75

An optimized crystal structure of Li2MnFe. Source: Alexandria via LeMat-Bulk, functional PBE-GGA.

Formation energy from the elements: 0.885 eV per atom
Total magnetic moment: 0.44 μB per atom
Crystal system: tetragonal
Relative energy among the computed polymorphs: 628 meV/atom

Cell: 6.6315 6.6315 5.2078 Å, 50.45 50.45 90.00°
With the nearest neighbours (Å) after each atom.
Fractional coordinates of all 8 atoms:
Mn 0.5000 0.5000 0.0000  2 Fe 2.27, 4 Li 2.42
Mn 0.2500 0.7500 0.5000  2 Fe 2.27, 4 Li 2.42
Li 0.1235 0.6250 0.2500  2 Li 2.27, 2 Fe 2.41, 2 Mn 2.42
Li 0.6265 0.1250 0.2500  2 Li 2.27, 2 Fe 2.41, 2 Mn 2.42
Li 0.3750 0.3735 0.7500  2 Li 2.27, 2 Fe 2.41, 2 Mn 2.42
Li 0.8750 0.8765 0.7500  2 Li 2.27, 2 Fe 2.41, 2 Mn 2.42
Fe 0.0000 0.0000 0.0000  2 Mn 2.27, 4 Li 2.41
Fe 0.7500 0.2500 0.5000  2 Mn 2.27, 4 Li 2.41

An optimized crystal structure of Li2MnFe. Source: Alexandria via LeMat-Bulk, functional PBE-GGA.

Formation energy from the elements: 0.513 eV per atom
Total magnetic moment: 1.45 μB per atom
Crystal system: tetragonal
Relative energy among the computed polymorphs: 255 meV/atom

Cell: 2.9757 2.9757 5.8269 Å, 90.00 90.00 90.00°
With the nearest neighbours (Å) after each atom.
Fractional coordinates of all 4 atoms:
Fe 0.5000 0.5000 0.7500  8 Li 2.53
Mn 0.5000 0.5000 0.2500  8 Li 2.59
Li 0.0000 0.0000 0.5085  4 Fe 2.53, 4 Mn 2.59, 1 Li 2.81
Li 0.0000 0.0000 0.9915  4 Fe 2.53, 4 Mn 2.59, 1 Li 2.81

An optimized crystal structure of LiMnFe4. Source: Alexandria via LeMat-Bulk, functional PBE-GGA.

Formation energy from the elements: 0.278 eV per atom
Total magnetic moment: 1.91 μB per atom
Crystal system: cubic

Cell: 4.7485 4.7485 4.7485 Å, 60.00 60.00 60.00°
With the nearest neighbours (Å) after each atom.
Fractional coordinates of all 6 atoms:
Mn 0.0000 0.0000 0.0000  12 Fe 2.78, 4 Li 2.91
Fe 0.3749 0.3749 0.3749  6 Fe 2.37-2.38
Fe 0.3749 0.8753 0.3749  6 Fe 2.37-2.38
Fe 0.3749 0.3749 0.8753  6 Fe 2.37-2.38
Fe 0.8753 0.3749 0.3749  6 Fe 2.37-2.38
Li 0.7500 0.7500 0.7500  12 Fe 2.78, 4 Mn 2.91

An optimized crystal structure of Li2MnFe. Source: Alexandria via LeMat-Bulk, functional PBE-GGA.

Formation energy from the elements: 0.316 eV per atom
Total magnetic moment: 0.75 μB per atom
Crystal system: orthorhombic
Relative energy among the computed polymorphs: 59 meV/atom

Cell: 2.4039 2.4039 9.0816 Å, 90.00 90.00 114.59°
With the nearest neighbours (Å) after each atom.
Fractional coordinates of all 4 atoms:
Fe 0.5000 0.5000 0.7500  6 Fe 2.40-2.60, 4 Li 2.61
Mn 0.5000 0.5000 0.2500  6 Mn 2.40-2.60, 4 Li 2.63
Li 0.0000 0.0000 0.9987  6 Li 2.40-2.60, 2 Fe 2.61, 2 Mn 2.63
Li 0.0000 0.0000 0.5013  6 Li 2.40-2.60, 2 Fe 2.61, 2 Mn 2.63

An optimized crystal structure of Li2MnFe. Source: Alexandria via LeMat-Bulk, functional PBE-GGA.

Formation energy from the elements: 0.307 eV per atom
Total magnetic moment: 1.11 μB per atom
Crystal system: trigonal
Relative energy among the computed polymorphs: 49 meV/atom

Cell: 9.3081 9.3081 9.3081 Å, 15.56 15.56 15.56°
With the nearest neighbours (Å) after each atom.
Fractional coordinates of all 4 atoms:
Fe 0.7500 0.7500 0.7500  6 Fe 2.52, 6 Li 2.71
Li 0.0004 0.0004 0.0004  6 Li 2.52, 3 Fe 2.71, 3 Mn 2.73
Li 0.4996 0.4996 0.4996  6 Li 2.52, 3 Fe 2.71, 3 Mn 2.73
Mn 0.2500 0.2500 0.2500  6 Mn 2.52, 6 Li 2.73

An optimized crystal structure of LiMn2Fe2. Source: Alexandria via LeMat-Bulk, functional PBE-GGA.

Formation energy from the elements: 0.220 eV per atom
Total magnetic moment: 0.12 μB per atom
Crystal system: tetragonal
Relative energy among the computed polymorphs: 0 meV/atom

Cell: 6.9505 6.9505 2.4620 Å, 90.00 90.00 90.00°
With the nearest neighbours (Å) after each atom.
Fractional coordinates of all 10 atoms:
Li 0.0000 0.0000 0.0000  2 Li 2.46, 4 Mn 2.76
Li 0.5000 0.5000 0.0000  2 Li 2.46, 4 Mn 2.76
Fe 0.1691 0.6691 0.5000  6 Mn 2.39, 2 Fe 2.46
Fe 0.6691 0.8309 0.5000  6 Mn 2.39, 2 Fe 2.46
Fe 0.8309 0.3309 0.5000  6 Mn 2.39, 2 Fe 2.46
Fe 0.3309 0.1691 0.5000  6 Mn 2.39, 2 Fe 2.46
Mn 0.6227 0.1227 0.0000  6 Fe 2.39, 3 Mn 2.41-2.46
Mn 0.3773 0.8773 0.0000  6 Fe 2.39, 3 Mn 2.41-2.46
Mn 0.8773 0.6227 0.0000  6 Fe 2.39, 3 Mn 2.41-2.46
Mn 0.1227 0.3773 0.0000  6 Fe 2.39, 3 Mn 2.41-2.46

An optimized crystal structure of Li2MnFe. Source: Alexandria via LeMat-Bulk, functional PBE-GGA.

Formation energy from the elements: 0.401 eV per atom
Total magnetic moment: 1.46 μB per atom
Crystal system: orthorhombic
Relative energy among the computed polymorphs: 143 meV/atom

Cell: 5.1986 5.1986 5.1986 Å, 150.62 127.13 61.64°
With the nearest neighbours (Å) after each atom.
Fractional coordinates of all 4 atoms:
Mn 0.4913 0.4913 0.0000  2 Fe 2.48, 2 Mn 2.64, 6 Li 2.66-2.68
Li 0.0001 0.0001 0.0000  4 Li 2.57-2.64, 2 Fe 2.64, 4 Mn 2.66
Li 0.7530 0.2530 0.5000  4 Li 2.57-2.64, 4 Fe 2.66, 2 Mn 2.68
Fe 0.2557 0.7557 0.5000  2 Mn 2.48, 6 Li 2.64-2.66, 2 Fe 2.64